(1)
Th4HgAu | PBE-GGA | optimized geometry

Values from the calculation:
E above lowest polymorph: 0.060 eV per atom
space group: P4/mmm
formation energy from the elements: -120 kJ/mol of formula units
crystal system: tetragonal

```
data_Th4HgAu
_chemical_formula_sum 'Th8 Hg2 Au2'
_cell_length_a 5.054
_cell_length_b 5.052
_cell_length_c 13.810
_cell_angle_alpha 90.00
_cell_angle_beta 89.99
_cell_angle_gamma 90.00
_space_group_name_H-M_alt 'P 1'
_space_group_IT_number 1
loop_
_space_group_symop_operation_xyz
'x,y,z'
loop_
_atom_site_label
_atom_site_type_symbol
_atom_site_fract_x
_atom_site_fract_y
_atom_site_fract_z
Th1 Th 0.000 0.000 0.356
Th2 Th 0.500 0.500 0.644
Hg1 Hg 0.000 0.000 0.000
Th3 Th 0.500 0.500 0.356
Au1 Au 0.500 0.000 0.500
Th4 Th 0.000 0.000 0.644
Th5 Th 0.000 0.500 0.837
Th6 Th 0.000 0.500 0.163
Th7 Th 0.500 0.000 0.163
Th8 Th 0.500 0.000 0.837
Au2 Au 0.000 0.500 0.500
Hg2 Hg 0.500 0.500 0.000
```


(2)
PmEuN | PBE-GGA | optimized geometry

Values from the calculation:
E above lowest polymorph: 1.062 eV per atom
space group: I4mm
crystal system: tetragonal
uncorrected formation energy: 0.25 eV per atom

```
data_PmEuN
_chemical_formula_sum 'Pm1 Eu1 N1'
_cell_length_a 4.768
_cell_length_b 4.768
_cell_length_c 5.122
_cell_angle_alpha 117.74
_cell_angle_beta 117.74
_cell_angle_gamma 90.00
_space_group_name_H-M_alt 'P 1'
_space_group_IT_number 1
loop_
_space_group_symop_operation_xyz
'x,y,z'
loop_
_atom_site_label
_atom_site_type_symbol
_atom_site_fract_x
_atom_site_fract_y
_atom_site_fract_z
N1 N 0.621 0.621 0.242
Pm1 Pm 0.893 0.893 0.786
Eu1 Eu 0.336 0.336 0.672
```


(3)
ErScBeRh | PBE-GGA | optimized geometry

Values from the calculation:
space group: F-43m
formation energy from the elements: -168 kJ/mol of formula units
crystal system: cubic

```
data_ErScBeRh
_chemical_formula_sum 'Er1 Sc1 Be1 Rh1'
_cell_length_a 4.679
_cell_length_b 4.679
_cell_length_c 4.679
_cell_angle_alpha 60.00
_cell_angle_beta 60.00
_cell_angle_gamma 60.00
_space_group_name_H-M_alt 'P 1'
_space_group_IT_number 1
loop_
_space_group_symop_operation_xyz
'x,y,z'
loop_
_atom_site_label
_atom_site_type_symbol
_atom_site_fract_x
_atom_site_fract_y
_atom_site_fract_z
Er1 Er 0.500 0.500 0.500
Sc1 Sc 0.000 0.000 0.000
Rh1 Rh 0.250 0.250 0.250
Be1 Be 0.750 0.750 0.750
```


(4)
BeAsRh2 | PBE-GGA | optimized geometry

Values from the calculation:
E above lowest polymorph: 0.116 eV per atom
space group: R-3m
formation energy from the elements: -100 kJ/mol of formula units
crystal system: trigonal

```
data_BeAsRh2
_chemical_formula_sum 'Be1 As1 Rh2'
_cell_length_a 7.210
_cell_length_b 7.210
_cell_length_c 7.210
_cell_angle_alpha 23.76
_cell_angle_beta 23.76
_cell_angle_gamma 23.76
_space_group_name_H-M_alt 'P 1'
_space_group_IT_number 1
loop_
_space_group_symop_operation_xyz
'x,y,z'
loop_
_atom_site_label
_atom_site_type_symbol
_atom_site_fract_x
_atom_site_fract_y
_atom_site_fract_z
Rh1 Rh 0.008 0.008 0.008
As1 As 0.250 0.250 0.250
Be1 Be 0.750 0.750 0.750
Rh2 Rh 0.492 0.492 0.492
```


(5)
AlTc2Sb | PBE-GGA | optimized geometry

Values from the calculation:
E above lowest polymorph: 0.362 eV per atom
space group: F-43m
crystal system: cubic
uncorrected formation energy: 0.29 eV per atom

```
data_AlTc2Sb
_chemical_formula_sum 'Al1 Tc2 Sb1'
_cell_length_a 4.541
_cell_length_b 4.541
_cell_length_c 4.541
_cell_angle_alpha 60.00
_cell_angle_beta 60.00
_cell_angle_gamma 60.00
_space_group_name_H-M_alt 'P 1'
_space_group_IT_number 1
loop_
_space_group_symop_operation_xyz
'x,y,z'
loop_
_atom_site_label
_atom_site_type_symbol
_atom_site_fract_x
_atom_site_fract_y
_atom_site_fract_z
Tc1 Tc 0.000 0.000 0.000
Sb1 Sb 0.750 0.750 0.750
Al1 Al 0.500 0.500 0.500
Tc2 Tc 0.250 0.250 0.250
```


(6)
Gd2Si4CN6 | PBE-GGA | optimized geometry

Values from the calculation:
space group: P2_1/c
crystal system: monoclinic
uncorrected formation energy: -1.19 eV per atom

```
data_Gd2Si4CN6
_chemical_formula_sum 'Gd8 Si16 C4 N24'
_cell_length_a 5.988
_cell_length_b 10.039
_cell_length_c 10.440
_cell_angle_alpha 90.00
_cell_angle_beta 89.73
_cell_angle_gamma 90.00
_space_group_name_H-M_alt 'P 1'
_space_group_IT_number 1
loop_
_space_group_symop_operation_xyz
'x,y,z'
loop_
_atom_site_label
_atom_site_type_symbol
_atom_site_fract_x
_atom_site_fract_y
_atom_site_fract_z
Si1 Si 0.255 0.981 0.752
Si2 Si 0.755 0.519 0.252
N1 N 0.059 0.556 0.640
N2 N 0.000 0.791 0.503
Si3 Si 0.257 0.210 0.579
N3 N 0.986 0.039 0.785
N4 N 0.335 0.043 0.602
N5 N 0.941 0.444 0.360
Gd1 Gd 0.235 0.436 0.096
N6 N 0.976 0.224 0.990
Gd2 Gd 0.765 0.564 0.904
Gd3 Gd 0.260 0.088 0.080
Si4 Si 0.979 0.210 0.825
C1 C 0.733 0.207 0.245
N7 N 0.441 0.056 0.860
Si5 Si 0.515 0.771 0.160
Gd4 Gd 0.760 0.412 0.580
Si6 Si 0.757 0.290 0.079
N8 N 0.269 0.735 0.244
Si7 Si 0.985 0.271 0.340
C2 C 0.767 0.707 0.255
Si8 Si 0.485 0.229 0.840
Gd5 Gd 0.735 0.064 0.596
N9 N 0.665 0.957 0.398
Gd6 Gd 0.265 0.936 0.404
N10 N 0.000 0.209 0.497
N11 N 0.769 0.765 0.744
C3 C 0.267 0.793 0.755
Si9 Si 0.479 0.290 0.325
N12 N 0.024 0.776 0.010
Si10 Si 0.245 0.481 0.748
N13 N 0.165 0.543 0.898
N14 N 0.500 0.709 0.003
N15 N 0.559 0.944 0.140
N16 N 0.835 0.457 0.102
N17 N 0.476 0.276 0.490
C4 C 0.233 0.293 0.745
Si11 Si 0.521 0.710 0.675
Gd7 Gd 0.740 0.912 0.920
Si12 Si 0.021 0.790 0.175
N18 N 0.731 0.265 0.756
N19 N 0.014 0.961 0.215
Gd8 Gd 0.240 0.588 0.420
N20 N 0.231 0.235 0.256
N21 N 0.500 0.291 0.997
N22 N 0.514 0.539 0.715
Si13 Si 0.243 0.710 0.921
Si14 Si 0.743 0.790 0.421
N23 N 0.486 0.461 0.285
Si15 Si 0.015 0.729 0.660
N24 N 0.524 0.724 0.510
Si16 Si 0.745 0.019 0.248
```


(7)
PrTh2Cd6 | PBE-GGA | optimized geometry

Values from the calculation:
space group: C2/m
formation energy from the elements: -208 kJ/mol of formula units
crystal system: monoclinic

```
data_PrTh2Cd6
_chemical_formula_sum 'Pr1 Th2 Cd6'
_cell_length_a 3.383
_cell_length_b 8.904
_cell_length_c 8.904
_cell_angle_alpha 60.07
_cell_angle_beta 89.98
_cell_angle_gamma 89.98
_space_group_name_H-M_alt 'P 1'
_space_group_IT_number 1
loop_
_space_group_symop_operation_xyz
'x,y,z'
loop_
_atom_site_label
_atom_site_type_symbol
_atom_site_fract_x
_atom_site_fract_y
_atom_site_fract_z
Th1 Th 0.000 0.333 0.333
Cd1 Cd 0.502 0.000 0.333
Cd2 Cd 0.500 0.667 0.333
Cd3 Cd 0.500 0.333 0.667
Pr1 Pr 0.000 0.000 0.000
Cd4 Cd 0.498 0.000 0.667
Th2 Th 0.000 0.667 0.667
Cd5 Cd 0.498 0.667 0.000
Cd6 Cd 0.502 0.333 0.000
```


(8)
Li5Pa3O12 | PBE-GGA | optimized geometry

Values from the calculation:
space group: Ia-3d
crystal system: cubic
uncorrected formation energy: -2.45 eV per atom

```
data_Li5Pa3O12
_chemical_formula_sum 'Li20 Pa12 O48'
_cell_length_a 10.685
_cell_length_b 10.685
_cell_length_c 10.685
_cell_angle_alpha 109.47
_cell_angle_beta 109.47
_cell_angle_gamma 109.47
_space_group_name_H-M_alt 'P 1'
_space_group_IT_number 1
loop_
_space_group_symop_operation_xyz
'x,y,z'
loop_
_atom_site_label
_atom_site_type_symbol
_atom_site_fract_x
_atom_site_fract_y
_atom_site_fract_z
Pa1 Pa 0.375 0.625 0.250
O1 O 0.548 0.322 0.912
O2 O 0.726 0.136 0.048
Pa2 Pa 0.375 0.750 0.625
Li1 Li 0.875 0.250 0.625
O3 O 0.864 0.274 0.452
Pa3 Pa 0.125 0.875 0.750
Pa4 Pa 0.875 0.750 0.125
Pa5 Pa 0.250 0.625 0.875
O4 O 0.952 0.588 0.178
O5 O 0.636 0.588 0.910
O6 O 0.410 0.274 0.322
Li2 Li 0.000 0.000 0.000
Li3 Li 0.500 0.500 0.000
O7 O 0.726 0.590 0.178
O8 O 0.952 0.364 0.274
O9 O 0.136 0.410 0.088
Li4 Li 0.500 0.000 0.000
Li5 Li 0.250 0.375 0.625
O10 O 0.590 0.864 0.412
O11 O 0.636 0.048 0.226
O12 O 0.910 0.088 0.636
O13 O 0.912 0.822 0.548
O14 O 0.178 0.088 0.952
O15 O 0.774 0.452 0.364
O16 O 0.364 0.412 0.090
O17 O 0.822 0.910 0.274
O18 O 0.088 0.910 0.136
O19 O 0.088 0.178 0.452
Pa6 Pa 0.750 0.375 0.125
O20 O 0.322 0.774 0.410
O21 O 0.322 0.548 0.412
Li6 Li 0.750 0.125 0.875
O22 O 0.226 0.548 0.636
O23 O 0.822 0.912 0.048
Li7 Li 0.750 0.625 0.375
O24 O 0.274 0.864 0.952
O25 O 0.910 0.822 0.774
O26 O 0.912 0.090 0.864
Li8 Li 0.875 0.625 0.750
O27 O 0.412 0.364 0.590
Pa7 Pa 0.750 0.875 0.625
O28 O 0.864 0.590 0.912
O29 O 0.452 0.774 0.864
O30 O 0.590 0.726 0.678
O31 O 0.090 0.178 0.226
O32 O 0.548 0.226 0.136
Li9 Li 0.000 0.000 0.500
O33 O 0.774 0.322 0.910
Li10 Li 0.000 0.500 0.500
O34 O 0.412 0.048 0.322
Pa8 Pa 0.250 0.125 0.375
Li11 Li 0.250 0.875 0.125
Pa9 Pa 0.125 0.250 0.875
O35 O 0.274 0.410 0.822
Li12 Li 0.500 0.500 0.500
Pa10 Pa 0.875 0.125 0.250
O36 O 0.048 0.412 0.822
O37 O 0.048 0.636 0.726
O38 O 0.588 0.636 0.410
O39 O 0.136 0.726 0.548
Li13 Li 0.125 0.750 0.375
Li14 Li 0.625 0.750 0.875
O40 O 0.588 0.952 0.678
O41 O 0.364 0.952 0.774
Li15 Li 0.375 0.250 0.125
O42 O 0.678 0.226 0.590
O43 O 0.452 0.678 0.088
O44 O 0.090 0.912 0.364
Li16 Li 0.625 0.875 0.250
Li17 Li 0.125 0.375 0.250
Pa11 Pa 0.625 0.250 0.375
O45 O 0.678 0.452 0.588
Li18 Li 0.000 0.500 0.000
O46 O 0.178 0.090 0.726
Li19 Li 0.500 0.000 0.500
O47 O 0.410 0.136 0.588
O48 O 0.226 0.678 0.090
Pa12 Pa 0.625 0.375 0.750
Li20 Li 0.375 0.125 0.750
```


no.,total moment (μB/cell)
1,0.0
2,7.7
3,0.0
4,0.0
5,0.0
6,55.9
7,0.0
8,16.5